Entry 1:
First-principles (GGA-PBEsol) data for an optimized crystal structure of YMgW2, as listed in the Alexandria database.

a b c (Å): 3.2604 4.7686 9.8560
angles (deg): 90.00 90.00 90.00
Space group Cmm2 (No. 35)
Unique sites:
Y (0.0000, 0.0000, 0.0000) [2 per cell]
Mg (0.0000, 0.5000, 0.7006) [2 per cell]
W (0.0000, 0.0000, 0.4592) [2 per cell]
W (0.0000, 0.5000, 0.2549) [2 per cell]

E = -8.640 eV per atom
ΔH_f (0 K) = 0.3990 eV per atom

***

Entry 2:
First-principles (GGA-PBEsol) data for an optimized crystal structure of YMgW2, as listed in the Alexandria database.

a b c (Å): 5.6364 9.5661 2.7579
angles (deg): 90.00 90.00 90.00
Space group Cmmm (No. 65)
Unique sites:
Y (0.0000, 0.0000, 0.0000) [2 per cell]
Mg (0.0000, 0.5000, 0.0000) [2 per cell]
W (0.2500, 0.2500, 0.5000) [4 per cell]

E = -8.356 eV per atom
ΔH_f (0 K) = 0.6830 eV per atom

***

Entry 3:
First-principles (GGA-PBEsol) data for an optimized crystal structure of YMgW2, as listed in the Alexandria database.

a b c (Å): 2.7740 2.7740 9.5706
angles (deg): 90.00 90.00 90.00
Space group P4/mmm (No. 123)
Unique sites:
Y (0.0000, 0.0000, 0.0000) [1 per cell]
Mg (0.0000, 0.0000, 0.5000) [1 per cell]
W (0.5000, 0.5000, 0.2630) [2 per cell]

E = -8.402 eV per atom
ΔH_f (0 K) = 0.6367 eV per atom

***

Entry 4:
First-principles (GGA-PBEsol) data for an optimized crystal structure of YMg3W, as listed in the Alexandria database.

a b c (Å): 5.3858 5.3858 5.3858
angles (deg): 90.00 90.00 90.00
Space group Pm-3m (No. 221)
Unique sites:
Y (0.0000, 0.0000, 0.0000) [1 per cell]
Mg (0.0000, 0.0000, 0.5000) [3 per cell]
W (0.5000, 0.5000, 0.5000) [1 per cell]

E = -2.853 eV per atom
ΔH_f (0 K) = 2.3032 eV per atom